1.
MgCdNi2: optimized geometry, GGA-PBE.

Crystal system = monoclinic
Total magnetic moment = 0.00 μB per formula unit
E_form = -37.2 meV per atom

Unit cell a=9.6222 b=2.8963 c=4.5288 alpha=90.00 beta=108.78 gamma=90.00
Space group Cm (No. 8)
Unique sites:
Mg  0.0000  0.0000  0.0000 x2
Cd  0.2843  0.5000  0.3475 x2
Ni  0.0376  0.5000  0.5288 x2
Ni  0.2456  0.0000  0.8213 x2

=====

2.
La2NdCd: optimized geometry, GGA-PBE.

Crystal system = tetragonal
Offset from the most stable computed form = 0.034 eV per atom
Total magnetic moment = 0.00 μB per formula unit
E_form = -120.1 meV per atom

Unit cell a=5.0599 b=5.0599 c=5.0224 alpha=90.00 beta=90.00 gamma=90.00
Space group P4/mmm (No. 123)
Unique sites:
La  0.0000  0.5000  0.0000 x2
Nd  0.0000  0.0000  0.5000 x1
Cd  0.5000  0.5000  0.5000 x1

=====

3.
CoMo3W: optimized geometry, GGA-PBE.

Crystal system = cubic
Offset from the most stable computed form = 0.858 eV per atom
Total magnetic moment = 0.00 μB per formula unit
E_form = 2169.9 meV per atom

Unit cell a=4.6945 b=4.6945 c=4.6945 alpha=90.00 beta=90.00 gamma=90.00
Space group Pm-3m (No. 221)
Unique sites:
Co  0.0000  0.0000  0.0000 x1
Mo  0.0000  0.5000  0.5000 x3
W  0.5000  0.5000  0.5000 x1

=====

4.
Dy8ZnC4: optimized geometry, GGA-PBE.

Crystal system = monoclinic
Total magnetic moment = 0.00 μB per formula unit
E_form = -214.7 meV per atom

Unit cell a=17.5406 b=3.6242 c=12.1367 alpha=90.00 beta=132.89 gamma=90.00
Space group Cm (No. 8)
Unique sites:
Dy  0.0000  0.0000  0.0000 x2
Dy  0.0159  0.0000  0.7368 x2
Dy  0.0524  0.0000  0.4561 x2
Dy  0.1646  0.5000  0.3481 x2
Dy  0.2013  0.5000  0.0677 x2
Dy  0.2170  0.5000  0.8042 x2
Dy  0.3147  0.0000  0.6773 x2
Dy  0.4023  0.0000  0.1269 x2
Zn  0.3590  0.0000  0.4024 x2
C  0.0100  0.5000  0.8708 x2
C  0.0311  0.0000  0.2337 x2
C  0.1860  0.5000  0.5705 x2
C  0.2071  0.0000  0.9336 x2

=====

5.
OsIBrN2: optimized geometry, GGA-PBE.

Crystal system = tetragonal
Offset from the most stable computed form = 0.000 eV per atom
Total magnetic moment = 0.33 μB per formula unit
Energy relative to the elements, uncorrected = 970 meV/atom

Unit cell a=3.9352 b=3.9352 c=5.8961 alpha=90.00 beta=90.00 gamma=90.00
Space group P4/mmm (No. 123)
Unique sites:
Os  0.0000  0.0000  0.0000 x1
I  0.0000  0.0000  0.5000 x1
Br  0.5000  0.5000  0.5000 x1
N  0.0000  0.5000  0.0000 x2

=====

6.
Li4SnGe2: optimized geometry, GGA-PBE.

Crystal system = tetragonal
Offset from the most stable computed form = 0.052 eV per atom
Total magnetic moment = 0.00 μB per formula unit
E_form = -184.9 meV per atom

Unit cell a=7.6575 b=7.6575 c=9.2475 alpha=90.00 beta=90.00 gamma=90.00
Space group I-42d (No. 122)
Unique sites:
Li  0.0806  0.6742  0.3645 x16
Sn  0.0000  0.0000  0.5000 x4
Ge  0.2254  0.7500  0.6250 x8

=====

7.
La8CS3Br4: optimized geometry, GGA-PBE.

Crystal system = trigonal
Total magnetic moment = 0.00 μB per formula unit
Energy relative to the elements, uncorrected = -1552 meV/atom

Unit cell a=8.2541 b=8.2541 c=22.0651 alpha=90.00 beta=90.00 gamma=120.00
Space group R-3m (No. 166, hexagonal axes)
Unique sites:
La  0.0000  0.0000  0.2363 x6
La  0.0235  0.5118  0.2328 x18
C  0.0000  0.0000  0.5000 x3
S  0.0000  0.5000  0.5000 x9
Br  0.0000  0.0000  0.0000 x3
Br  0.0000  0.5000  0.0000 x9

=====

8.
Y2IrPbS: optimized geometry, GGA-PBE.

Crystal system = tetragonal
Total magnetic moment = 0.00 μB per formula unit
Energy relative to the elements, uncorrected = -342 meV/atom

Unit cell a=5.4334 b=5.4334 c=5.0515 alpha=90.00 beta=90.00 gamma=90.00
Space group P4/mmm (No. 123)
Unique sites:
Y  0.0000  0.5000  0.0000 x2
Ir  0.0000  0.0000  0.0000 x1
Pb  0.0000  0.0000  0.5000 x1
S  0.5000  0.5000  0.5000 x1

=====

Number 1: calculated density 7.1 g/cm3, uncorrected energy -3.56 eV/atom. Number 2: calculated density 6.9 g/cm3, uncorrected energy -4.00 eV/atom. Number 3: calculated density 8.5 g/cm3, uncorrected energy -8.34 eV/atom. Number 4: calculated density 8.3 g/cm3, uncorrected energy -5.98 eV/atom. Number 5: calculated density 7.7 g/cm3, uncorrected energy -5.25 eV/atom. Number 6: calculated density 3.6 g/cm3, uncorrected energy -3.17 eV/atom. Number 7: calculated density 5.9 g/cm3, uncorrected energy -5.78 eV/atom. Number 8: calculated density 6.8 g/cm3, uncorrected energy -6.27 eV/atom.